[1]
Rb4Ce3HfSe8: relaxed, GGA-PBE.

Geometry as POSCAR:
```
Rb4Ce3HfSe8
1.0
8.5592 0.0000 0.0000
0.0000 9.4087 0.5762
-4.2796 -4.2680 6.0615
Rb Ce Hf Se
4 3 1 8
Direct
0.5000 0.0000 0.0000
0.5000 0.0000 0.5000
0.0000 0.0000 0.0000
0.0000 0.0000 0.5000
0.5000 0.5000 0.0000
0.5000 0.5000 0.5000
0.0000 0.5000 0.5000
0.0000 0.5000 0.0000
0.2197 0.6942 0.9750
0.2197 0.6942 0.4393
0.2646 0.2943 0.5292
0.7552 0.6942 0.9750
0.2448 0.3058 0.0250
0.7354 0.7057 0.4708
0.7803 0.3058 0.5607
0.7803 0.3058 0.0250
```

Values from the calculation:
Symmetry = R-3m
Formation energy from raw total energies = -1.5415 eV per atom

=====

[2]
La3Tl2Bi: relaxed, GGA-PBE.

Geometry as POSCAR:
```
La3Tl2Bi
1.0
4.2858 0.0000 0.0000
0.0000 5.4380 0.0000
0.0000 0.0000 16.4332
La Tl Bi
6 4 2
Direct
0.4984 0.5000 0.6619
0.4965 0.0000 0.5000
0.4984 0.5000 0.3381
0.5016 0.0000 0.1619
0.5035 0.5000 0.0000
0.5016 0.0000 0.8381
0.9992 0.0000 0.6753
0.9992 0.0000 0.3247
0.0008 0.5000 0.1753
0.0008 0.5000 0.8247
0.9975 0.5000 0.5000
0.0025 0.0000 0.0000
```

Values from the calculation:
Symmetry = Pmmn
ΔH_f (0 K) = -570.9 meV per atom

=====

[3]
Ca3SnPd2: relaxed, GGA-PBE.

Geometry as POSCAR:
```
Ca3SnPd2
1.0
-2.4493 -3.3046 -1.9695
3.6789 -1.9295 -1.3320
-0.3957 -1.4290 8.1285
Ca Sn Pd
3 1 2
Direct
0.5000 0.5000 0.0000
0.8230 0.3224 0.6454
0.1770 0.6776 0.3546
0.0000 0.0000 0.0000
0.3742 0.8734 0.7468
0.6258 0.1266 0.2532
```

Values from the calculation:
Symmetry = C2/m
ΔH_f (0 K) = -619.2 meV per atom

=====

[4]
CeDy9In2: relaxed, GGA-PBE.

Geometry as POSCAR:
```
CeDy9In2
1.0
4.8578 0.0000 0.0000
0.0000 4.8578 0.0000
0.0000 0.0000 14.9295
Ce Dy In
1 9 2
Direct
0.0000 0.0000 0.0000
0.5000 0.5000 0.0000
0.5000 0.5000 0.3378
0.5000 0.5000 0.6622
0.5000 0.0000 0.1720
0.5000 0.0000 0.5000
0.5000 0.0000 0.8280
0.0000 0.5000 0.1720
0.0000 0.5000 0.5000
0.0000 0.5000 0.8280
0.0000 0.0000 0.3386
0.0000 0.0000 0.6614
```

Values from the calculation:
Symmetry = P4/mmm
ΔH_f (0 K) = -143.9 meV per atom

=====

[5]
Zr2MnAu: relaxed, GGA-PBE.

Geometry as POSCAR:
```
Zr2MnAu
1.0
5.7013 -0.0202 -0.0345
2.8457 4.9403 0.0345
-3.8122 -3.2614 2.7086
Au Mn Zr
1 1 2
Direct
0.4773 0.4773 0.0000
0.2583 0.7583 0.5000
0.0205 0.0205 0.0000
0.7439 0.2439 0.5000
```

Values from the calculation:
Symmetry = Imm2
E above lowest polymorph = 176 meV per atom
ΔH_f (0 K) = -123.9 meV per atom

=====

[6]
BaHgS: relaxed, GGA-PBE.

Geometry as POSCAR:
```
BaHgS
1.0
-0.7166 2.8806 2.9994
-6.7894 -3.4807 1.7207
3.1299 -4.0465 4.1641
S Hg Ba
2 2 2
Direct
0.5000 0.0000 0.5000
0.5000 0.5000 0.5000
0.4343 0.2500 0.8539
0.5657 0.7500 0.1461
0.9815 0.2500 0.3201
0.0185 0.7500 0.6799
```

Values from the calculation:
Symmetry = P2_1/m
Formation energy from raw total energies = -1.1670 eV per atom
E above lowest polymorph = 47 meV per atom

=====

[7]
Dy4CoSn2: relaxed, GGA-PBE.

Geometry as POSCAR:
```
Dy4CoSn2
1.0
-2.6837 -3.4776 -2.1327
-1.2403 -1.7363 4.3921
-4.5653 7.5711 -1.0106
Co Sn Dy
1 2 4
Direct
0.0000 0.0000 0.0000
0.6384 0.6384 0.2768
0.3616 0.3616 0.7232
0.8268 0.8268 0.6535
0.1732 0.1732 0.3465
0.0000 0.5000 0.0000
0.5000 0.0000 0.0000
```

Values from the calculation:
Symmetry = I4/mmm
E above lowest polymorph = 81 meV per atom
ΔH_f (0 K) = -417.3 meV per atom

=====

[8]
Hg2Sb2As: relaxed, GGA-PBE.

Geometry as POSCAR:
```
Hg2Sb2As
1.0
7.7774 0.0000 0.0000
0.0000 7.7774 0.0000
0.0000 0.0000 4.4004
Sb As Hg
4 2 4
Direct
0.1334 0.6334 0.5000
0.6334 0.8666 0.5000
0.8666 0.3666 0.5000
0.3666 0.1334 0.5000
0.0000 0.0000 0.0000
0.5000 0.5000 0.0000
0.3367 0.8367 0.0000
0.8367 0.6633 0.0000
0.6633 0.1633 0.0000
0.1633 0.3367 0.0000
```

Values from the calculation:
Symmetry = P4/mbm
Formation energy from raw total energies = 0.3947 eV per atom
E above lowest polymorph = 129 meV per atom

=====

[9]
Ac3Ga8Ru3: relaxed, GGA-PBE.

Geometry as POSCAR:
```
Ac3Ga8Ru3
1.0
-3.3338 -2.1339 -1.9750
3.3819 -7.3553 -2.7157
-2.4953 -5.9062 5.6394
Ac Ga Ru
3 8 3
Direct
0.5000 0.5000 0.5000
0.8276 0.1724 0.1724
0.1724 0.8276 0.8276
0.6132 0.0985 0.6751
0.3868 0.9015 0.3249
0.6132 0.6751 0.0985
0.3868 0.3249 0.9015
0.8296 0.8180 0.5228
0.1704 0.1820 0.4772
0.8296 0.5228 0.8180
0.1704 0.4772 0.1820
0.5000 0.0000 0.0000
0.0000 0.7726 0.2274
0.0000 0.2274 0.7726
```

Values from the calculation:
Symmetry = Immm
ΔH_f (0 K) = -467.4 meV per atom

=====

[10]
AcPr3NdSm: relaxed, GGA-PBE.

Geometry as POSCAR:
```
AcPr3NdSm
1.0
5.9591 0.0000 0.0000
-2.9796 10.3946 1.6418
0.0000 -1.2620 7.0537
Ac Pr Nd Sm
2 6 2 2
Direct
0.3518 0.7036 0.9622
0.6482 0.2964 0.0378
0.8399 0.6797 0.2512
0.7812 0.5624 0.7263
0.4830 0.9660 0.2524
0.2188 0.4376 0.2737
0.5170 0.0340 0.7476
0.1601 0.3203 0.7488
0.0555 0.1111 0.2778
0.9445 0.8889 0.7222
0.6426 0.2851 0.4922
0.3574 0.7149 0.5078
```

Values from the calculation:
Symmetry = C2/m
ΔH_f (0 K) = 178.9 meV per atom

=====

[11]
InFe2Pb: relaxed, GGA-PBE.

Geometry as POSCAR:
```
InFe2Pb
1.0
4.9733 -0.0011 0.1107
4.0247 2.9215 0.1107
2.5017 0.8120 5.8787
Fe In Pb
2 1 1
Direct
0.9830 0.9830 0.9022
0.5170 0.5170 0.5978
0.7500 0.7500 0.7500
0.2500 0.2500 0.2500
```

Values from the calculation:
Symmetry = C2/m
E above lowest polymorph = 171 meV per atom
ΔH_f (0 K) = 451.9 meV per atom

=====

[12]
CsNiHg2Cl8: relaxed, GGA-PBE.

Geometry as POSCAR:
```
CsNiHg2Cl8
1.0
-4.5789 1.1548 -4.3431
2.4878 -3.2507 -5.2584
-4.0813 -8.8550 -1.4269
Cs Ni Hg Cl
1 1 2 8
Direct
0.0000 0.0000 0.5000
0.0000 0.0000 0.0000
0.4287 0.4529 0.8049
0.5713 0.5471 0.1951
0.1113 0.7039 0.1894
0.7408 0.7915 0.9645
0.7568 0.0974 0.1713
0.8887 0.2961 0.8106
0.2592 0.2085 0.0355
0.2432 0.9026 0.8287
0.5468 0.7012 0.5618
0.4532 0.2988 0.4382
```

Values from the calculation:
Symmetry = P-1
Formation energy from raw total energies = -0.7620 eV per atom